#P
The following is a DFT calculation (PBE) of crystalline ScPdNO at its relaxed geometry.

- crystal system = orthorhombic

POSCAR file:
```
ScPdNO
1.0
-2.149 1.306 -2.083
3.433 -1.303 -4.361
-2.701 -5.307 -0.541
N Sc Pd O
2 2 2 2
Direct
0.000 0.857 0.375
0.000 0.357 0.625
0.000 0.498 0.299
0.000 0.998 0.701
0.500 0.514 0.749
0.500 0.014 0.251
0.500 0.885 0.860
0.500 0.385 0.140
```

#Q
The following is a DFT calculation (PBE) of crystalline ScPdNO at its relaxed geometry.

- crystal system = orthorhombic

POSCAR file:
```
ScPdNO
1.0
5.325 0.000 0.000
0.000 7.254 0.000
0.000 0.000 5.219
Sc O N Pd
4 4 4 4
Direct
0.541 0.626 0.387
0.459 0.374 0.887
0.041 0.374 0.387
0.959 0.626 0.887
0.752 0.458 0.129
0.252 0.542 0.129
0.748 0.458 0.629
0.248 0.542 0.629
0.360 0.170 0.179
0.860 0.830 0.179
0.140 0.170 0.679
0.640 0.830 0.679
0.555 0.961 0.007
0.055 0.039 0.007
0.945 0.961 0.507
0.445 0.039 0.507
```

If we sort the structures by their calculated energies, the order from most to least stable is #Q, #P.

#P
The following is a DFT calculation (PBE) of crystalline ScPdNO at its relaxed geometry.

- crystal system = orthorhombic

POSCAR file:
```
ScPdNO
1.0
3.816 0.000 0.000
0.000 4.134 0.000
0.000 0.000 6.815
Sc O Pd N
2 2 2 2
Direct
0.500 0.940 0.177
0.500 0.440 0.823
0.500 0.940 0.875
0.500 0.440 0.125
0.000 0.437 0.381
0.000 0.937 0.619
0.000 0.938 0.315
0.000 0.438 0.685
```

#Q
The following is a DFT calculation (PBE) of crystalline ScPdNO at its relaxed geometry.

- crystal system = tetragonal

POSCAR file:
```
ScPdNO
1.0
4.077 0.000 0.000
0.000 4.077 0.000
0.000 0.000 6.428
Sc N O Pd
2 2 2 2
Direct
0.000 0.500 0.115
0.500 0.000 0.885
0.000 0.500 0.434
0.500 0.000 0.566
0.000 0.000 0.000
0.500 0.500 0.000
0.500 0.500 0.500
0.000 0.000 0.500
```

If we sort the structures by their calculated energies, the order from most to least stable is #Q, #P.

#P
The following is a DFT calculation (PBE) of crystalline SmPdNO at its relaxed geometry.

- crystal system = orthorhombic

POSCAR file:
```
SmPdNO
1.0
4.067 0.000 0.000
0.000 4.564 0.000
0.000 0.000 6.883
N Pd Sm O
2 2 2 2
Direct
0.000 0.391 0.669
0.000 0.891 0.331
0.000 0.451 0.386
0.000 0.951 0.614
0.500 0.459 0.809
0.500 0.959 0.191
0.500 0.454 0.136
0.500 0.954 0.864
```

#Q
The following is a DFT calculation (PBE) of crystalline SmPdNO at its relaxed geometry.

- crystal system = orthorhombic

POSCAR file:
```
SmPdNO
1.0
-5.504 1.092 -0.131
-0.762 -2.983 7.189
0.939 4.993 2.172
O Pd Sm N
4 4 4 4
Direct
0.251 0.473 0.121
0.751 0.527 0.121
0.249 0.473 0.621
0.749 0.527 0.621
0.562 0.032 0.011
0.938 0.032 0.511
0.062 0.968 0.011
0.438 0.968 0.511
0.532 0.355 0.375
0.468 0.645 0.875
0.032 0.645 0.375
0.968 0.355 0.875
0.644 0.145 0.696
0.356 0.855 0.196
0.144 0.855 0.696
0.856 0.145 0.196
```

#R
The following is a DFT calculation (PBE) of crystalline SmPdNO at its relaxed geometry.

- crystal system = tetragonal

POSCAR file:
```
SmPdNO
1.0
4.173 0.000 0.000
0.000 4.173 0.000
0.000 0.000 7.398
O Sm Pd N
2 2 2 2
Direct
0.500 0.500 0.000
0.000 0.000 0.000
0.500 0.000 0.861
0.000 0.500 0.139
0.500 0.500 0.500
0.000 0.000 0.500
0.000 0.500 0.451
0.500 0.000 0.549
```

If we sort the structures by their calculated energies, the order from most to least stable is #Q, #R, #P.

#P
The following is a DFT calculation (PBE) of crystalline SmPdNO at its relaxed geometry.

- crystal system = orthorhombic

POSCAR file:
```
SmPdNO
1.0
-0.826 -1.943 3.265
5.049 -0.580 0.933
0.022 4.695 2.799
O N Sm Pd
2 2 2 2
Direct
0.500 0.935 0.711
0.500 0.065 0.211
0.000 0.672 0.063
0.000 0.328 0.563
0.000 0.193 0.983
0.000 0.807 0.483
0.500 0.345 0.489
0.500 0.655 0.989
```

#Q
The following is a DFT calculation (PBE) of crystalline SmPdNO at its relaxed geometry.

- crystal system = tetragonal

POSCAR file:
```
SmPdNO
1.0
4.905 0.000 0.000
0.000 4.905 0.000
0.000 0.000 4.556
Sm Pd N O
2 2 2 2
Direct
0.000 0.000 0.500
0.500 0.500 0.500
0.500 0.000 0.000
0.000 0.500 0.000
0.500 0.000 0.501
0.000 0.500 0.499
0.000 0.000 0.000
0.500 0.500 0.000
```

If we sort the structures by their calculated energies, the order from most to least stable is #P, #Q.

#P
The following is a DFT calculation (PBE) of crystalline TbPdNO at its relaxed geometry.

- crystal system = tetragonal

POSCAR file:
```
TbPdNO
1.0
4.152 0.000 0.000
0.000 4.152 0.000
0.000 0.000 7.175
Tb O N Pd
2 2 2 2
Direct
0.750 0.750 0.867
0.250 0.250 0.133
0.750 0.250 0.000
0.250 0.750 0.000
0.750 0.750 0.553
0.250 0.250 0.447
0.750 0.250 0.500
0.250 0.750 0.500
```

#Q
The following is a DFT calculation (PBE) of crystalline TbPdNO at its relaxed geometry.

- crystal system = tetragonal

POSCAR file:
```
TbPdNO
1.0
-1.616 0.291 -4.528
-3.468 -3.178 1.033
-2.730 3.367 1.191
N Tb O Pd
2 2 2 2
Direct
0.500 0.000 0.505
0.000 0.500 0.495
0.000 0.000 0.500
0.500 0.500 0.500
0.500 0.500 0.000
0.000 0.000 0.000
0.500 0.000 0.004
0.000 0.500 0.996
```

If we sort the structures by their calculated energies, the order from most to least stable is #P, #Q.